First-principles (GGA-PBE) data for TcOsCl after structural relaxation, as listed in Alexandria.

## Properties
Distance to the lowest polymorph of the same formula = 0.365 eV/atom
VASP energy = -7.090 eV per atom
Volume = 16.0 Å³ per atom
Total magnetization = 0.0 μB/f.u.
D(E_F) = 1.0674 states/eV/atom
Density = 11.23 g cm⁻³
Raw formation energy = 0.724 eV per atom

Lattice parameters (Å, degrees): 7.244 6.944 2.868 84.28 72.52 23.20
Fractional coordinates of all 3 atoms:
Tc 0.000 0.000 0.000
Os 0.654 0.654 0.346
Cl 0.342 0.342 0.658